[1]
Entry from Alexandria: an optimized crystal structure of VSb3Ir (PBE).

The value obtained for the energy above the most stable polymorph in this dataset is 0 meV/atom. The value obtained for the density of states at the Fermi level is 5.570 states/eV per cell.

It has space group Pm-3m (No. 221), with a = 5.185 Å, b = 5.185 Å, c = 5.185 Å, α = 90.00°, β = 90.00° and γ = 90.00°. The asymmetric unit holds V at (0.000, 0.000, 0.000), Sb at (0.000, 0.500, 0.500) and Ir at (0.500, 0.500, 0.500).



[2]
Entry from Alexandria: an optimized crystal structure of La2YAl (PBE).

The value obtained for the density of states at the Fermi level is 5.886 states/eV per cell. The energy of formation is -0.5 eV per formula unit.

It has space group Pmm2 (No. 25), with a = 3.581 Å, b = 4.449 Å, c = 7.419 Å, α = 90.00°, β = 90.00° and γ = 90.00°. The asymmetric unit holds La at (0.000, 0.000, 0.000), La at (0.500, 0.500, 0.284), Y at (0.000, 0.000, 0.572) and Al at (0.500, 0.500, 0.767).



[3]
Entry from Alexandria: an optimized crystal structure of Cs2K5Bi4 (PBE).

The value obtained for the density of states at the Fermi level is 9.367 states/eV per cell. The energy of formation is -2.9 eV per formula unit.

It has space group C2/m (No. 12), with a = 16.898 Å, b = 7.980 Å, c = 10.312 Å, α = 90.00°, β = 118.17° and γ = 90.00°. The asymmetric unit holds Cs at (0.247, 0.000, 0.113), K at (0.000, 0.500, 0.000), K at (0.118, 0.251, 0.427), Bi at (0.074, 0.000, 0.680) and Bi at (0.227, 0.500, 0.262).



[4]
Entry from Alexandria: an optimized crystal structure of NaPO2F (PBE).

The final energy is -14.24 eV/f.u. The value obtained for the density of states at the Fermi level is 4.659 states/eV per cell.

It has space group P4/mmm (No. 123), with a = 4.038 Å, b = 4.038 Å, c = 6.110 Å, α = 90.00°, β = 90.00° and γ = 90.00°. The asymmetric unit holds Na at (0.000, 0.000, 0.000), P at (0.000, 0.000, 0.500), O at (0.000, 0.500, 0.000) and F at (0.500, 0.500, 0.500).



[5]
Entry from Alexandria: an optimized crystal structure of SrInGa (PBE).

The value obtained for the density of states at the Fermi level is 3.208 states/eV per cell. The energy of formation is -1.3 eV per formula unit.

It has space group Imm2 (No. 44), with a = 4.942 Å, b = 8.010 Å, c = 8.301 Å, α = 90.00°, β = 90.00° and γ = 90.00°. The asymmetric unit holds Sr at (0.000, 0.000, 0.000), Sr at (0.000, 0.500, 0.087), In at (0.000, 0.197, 0.384) and Ga at (0.000, 0.323, 0.707).



[6]
Entry from Alexandria: an optimized crystal structure of Tm12Sb6Os (PBE).

The final energy is -100.75 eV/f.u. The value obtained for the density of states at the Fermi level is 36.544 states/eV per cell.

It has space group R-3 (No. 148, hexagonal axes), with a = 12.9188 Å, b = 12.9188 Å, c = 11.8736 Å, α = 90.00°, β = 90.00° and γ = 120.00°. The asymmetric unit holds Tm at (0.0277, 0.8413, 0.3858), Tm at (0.0624, 0.8705, 0.8783), Sb at (0.0427, 0.7573, 0.6381) and Os at (0.0000, 0.0000, 0.0000).



[7]
Entry from Alexandria: an optimized crystal structure of La4OsSeCl2 (PBE).

The final energy is -48.99 eV/f.u. The value obtained for the density of states at the Fermi level is 6.690 states/eV per cell.

It has space group P2/m (No. 10), with a = 7.456 Å, b = 4.187 Å, c = 7.638 Å, α = 90.00°, β = 107.48° and γ = 90.00°. The asymmetric unit holds La at (0.219, 0.000, 0.220), La at (0.227, 0.500, 0.764), Os at (0.000, 0.500, 0.000), Se at (0.000, 0.000, 0.500), Cl at (0.500, 0.000, 0.000) and Cl at (0.500, 0.500, 0.500).



[8]
Entry from Alexandria: an optimized crystal structure of ErTmBr3 (PBE).

The final energy is -21.38 eV/f.u.

It has space group C2/m (No. 12), with a = 20.138 Å, b = 3.846 Å, c = 10.439 Å, α = 90.00°, β = 112.91° and γ = 90.00°. The asymmetric unit holds Er at (0.069, 0.000, 0.460), Tm at (0.082, 0.500, 0.756), Br at (0.057, 0.500, 0.242), Br at (0.144, 0.000, 0.965) and Br at (0.179, 0.500, 0.624).



[9]
Entry from Alexandria: an optimized crystal structure of Zr2CdCo (PBE).

The value obtained for the density of states at the Fermi level is 3.819 states/eV per cell. The energy of formation is -0.6 eV per formula unit.

It has space group P2/m (No. 10), with a = 3.250 Å, b = 3.119 Å, c = 7.570 Å, α = 90.00°, β = 93.40° and γ = 90.00°. The asymmetric unit holds Zr at (0.039, 0.000, 0.292), Cd at (0.500, 0.500, 0.000) and Co at (0.500, 0.500, 0.500).



[10]
Entry from Alexandria: an optimized crystal structure of Ge2Se (PBE).

The value obtained for the energy above the most stable polymorph in this dataset is 0 meV/atom. The value obtained for the density of states at the Fermi level is 0.991 states/eV per cell.

It has space group Cm (No. 8), with a = 6.952 Å, b = 4.017 Å, c = 10.394 Å, α = 90.00°, β = 102.84° and γ = 90.00°. The asymmetric unit holds Ge at (0.000, 0.000, 0.000), Ge at (0.043, 0.500, 0.613), Ge at (0.180, 0.000, 0.522), Ge at (0.279, 0.500, 0.328), Se at (0.124, 0.500, 0.865) and Se at (0.401, 0.000, 0.187).



[11]
Entry from Alexandria: an optimized crystal structure of Zr2TeSe (PBE).

The value obtained for the energy above the most stable polymorph in this dataset is 553 meV/atom. The value obtained for the density of states at the Fermi level is 11.027 states/eV per cell.

It has space group I-4m2 (No. 119), with a = 3.958 Å, b = 3.958 Å, c = 11.841 Å, α = 90.00°, β = 90.00° and γ = 90.00°. The asymmetric unit holds Zr at (0.000, 0.000, 0.000), Zr at (0.000, 0.500, 0.250), Te at (0.000, 0.000, 0.500) and Se at (0.000, 0.500, 0.750).



[12]
Entry from Alexandria: an optimized crystal structure of ZnGeTe3 (PBE).

The value obtained for the energy above the most stable polymorph in this dataset is 583 meV/atom. The value obtained for the density of states at the Fermi level is 3.191 states/eV per cell.

It has space group Pm-3m (No. 221), with a = 5.286 Å, b = 5.286 Å, c = 5.286 Å, α = 90.00°, β = 90.00° and γ = 90.00°. The asymmetric unit holds Zn at (0.000, 0.000, 0.000), Ge at (0.500, 0.500, 0.500) and Te at (0.000, 0.000, 0.500).



[13]
Entry from Alexandria: an optimized crystal structure of Li3Dy4USe8 (PBE).

The final energy is -88.84 eV/f.u. The value obtained for the density of states at the Fermi level is 20.801 states/eV per cell.

It has space group R-3m (No. 166, hexagonal axes), with a = 8.1026 Å, b = 8.1026 Å, c = 19.7560 Å, α = 90.00°, β = 90.00° and γ = 120.00°. The asymmetric unit holds Li at (0.0000, 0.5000, 0.0000), Dy at (0.0000, 0.0000, 0.5000), Dy at (0.0000, 0.5000, 0.5000), U at (0.0000, 0.0000, 0.0000), Se at (0.0000, 0.0000, 0.2515) and Se at (0.0059, 0.5029, 0.2519).



[14]
Entry from Alexandria: an optimized crystal structure of Cd4Sn2Hg (PBE).

The value obtained for the energy above the most stable polymorph in this dataset is 0 meV/atom. The value obtained for the density of states at the Fermi level is 5.093 states/eV per cell. The energy of formation is 0.4 eV per formula unit.

It has space group C2/m (No. 12), with a = 14.715 Å, b = 3.206 Å, c = 8.839 Å, α = 90.00°, β = 122.09° and γ = 90.00°. The asymmetric unit holds Cd at (0.057, 0.000, 0.401), Cd at (0.140, 0.500, 0.890), Sn at (0.237, 0.000, 0.301) and Hg at (0.000, 0.000, 0.000).



[15]
Entry from Alexandria: an optimized crystal structure of Pm3TmSb2 (PBE).

The value obtained for the energy above the most stable polymorph in this dataset is 0 meV/atom. The value obtained for the density of states at the Fermi level is 4.997 states/eV per cell.

It has space group P-4m2 (No. 115), with a = 4.539 Å, b = 4.539 Å, c = 8.708 Å, α = 90.00°, β = 90.00° and γ = 90.00°. The asymmetric unit holds Pm at (0.000, 0.000, 0.000), Pm at (0.000, 0.500, 0.647), Tm at (0.500, 0.500, 0.000) and Sb at (0.000, 0.500, 0.276).



[16]
Entry from Alexandria: an optimized crystal structure of Sc2S3O12 (PBE).

The final energy is -120.00 eV/f.u. The value obtained for the density of states at the Fermi level is 0.000 states/eV per cell.

It has space group R-3c (No. 167, hexagonal axes), with a = 8.8489 Å, b = 8.8489 Å, c = 22.8488 Å, α = 90.00°, β = 90.00° and γ = 120.00°. The asymmetric unit holds Sc at (0.0000, 0.0000, 0.1442), S at (0.0000, 0.2864, 0.2500), O at (0.0281, 0.2060, 0.9080) and O at (0.0300, 0.2063, 0.1977).



[17]
Entry from Alexandria: an optimized crystal structure of TlTe2Au (PBE).

The final energy is -12.64 eV/f.u. The value obtained for the density of states at the Fermi level is 1.511 states/eV per cell.

It has space group C2/m (No. 12), with a = 11.696 Å, b = 4.147 Å, c = 7.661 Å, α = 90.00°, β = 125.96° and γ = 90.00°. The asymmetric unit holds Tl at (0.000, 0.000, 0.000), Te at (0.136, 0.500, 0.777) and Au at (0.000, 0.000, 0.500).



[18]
Entry from Alexandria: an optimized crystal structure of CeScCl5 (PBE).

The final energy is -35.85 eV/f.u. The value obtained for the density of states at the Fermi level is 8.907 states/eV per cell.

It has space group P2_1/m (No. 11), with a = 7.235 Å, b = 3.886 Å, c = 12.502 Å, α = 90.00°, β = 90.29° and γ = 90.00°. The asymmetric unit holds Ce at (0.056, 0.250, 0.330), Sc at (0.425, 0.750, 0.147), Cl at (0.057, 0.750, 0.163), Cl at (0.165, 0.250, 0.565), Cl at (0.323, 0.250, 0.017), Cl at (0.348, 0.750, 0.354) and Cl at (0.355, 0.750, 0.788).



[19]
Entry from Alexandria: an optimized crystal structure of SrThP2S8 (PBE).

The value obtained for the energy above the most stable polymorph in this dataset is 174 meV/atom. The value obtained for the density of states at the Fermi level is 0.000 states/eV per cell.

It has space group P-3 (No. 147), with a = 6.0825 Å, b = 6.0825 Å, c = 9.2424 Å, α = 90.00°, β = 90.00° and γ = 120.00°. The asymmetric unit holds Sr at (0.0000, 0.0000, 0.0000), Th at (0.0000, 0.0000, 0.5000), P at (0.3333, 0.6667, 0.7664), S at (0.0014, 0.3521, 0.6957) and S at (0.3333, 0.6667, 0.9823).



[20]
Entry from Alexandria: an optimized crystal structure of Pd2IBr3 (PBE).

The final energy is -17.81 eV/f.u. The value obtained for the density of states at the Fermi level is 7.861 states/eV per cell.

It has space group P-3m1 (No. 164), with a = 7.9055 Å, b = 7.9055 Å, c = 6.6890 Å, α = 90.00°, β = 90.00° and γ = 120.00°. The asymmetric unit holds Pd at (0.0000, 0.0000, 0.0000), Pd at (0.0000, 0.5000, 0.0000), I at (0.3333, 0.6667, 0.7584) and Br at (0.1668, 0.3336, 0.2141).



[21]
Entry from Alexandria: an optimized crystal structure of Cr3W3C (PBE).

The value obtained for the density of states at the Fermi level is 135.567 states/eV per cell. The energy of formation is -0.1 eV per formula unit.

It has space group Fd-3m (No. 227, origin choice 2), with a = 11.252 Å, b = 11.252 Å, c = 11.252 Å, α = 90.00°, β = 90.00° and γ = 90.00°. The asymmetric unit holds Cr at (0.000, 0.000, 0.000), Cr at (0.045, 0.045, 0.205), W at (0.069, 0.375, 0.875) and C at (0.000, 0.000, 0.500).



| no. | total magnetization (μB per cell) |
| --- | --- |
| 1 | 3.71 |
| 2 | 0.00 |
| 3 | 0.00 |
| 4 | 4.36 |
| 5 | 0.00 |
| 6 | 0.00 |
| 7 | 0.00 |
| 8 | 0.00 |
| 9 | 0.00 |
| 10 | 0.00 |
| 11 | 0.00 |
| 12 | 0.00 |
| 13 | 9.25 |
| 14 | 0.00 |
| 15 | 0.00 |
| 16 | 0.00 |
| 17 | 0.00 |
| 18 | 4.05 |
| 19 | 0.00 |
| 20 | 7.35 |
| 21 | 5.26 |